[1]
A plane-wave DFT calculation with GGA-PBEsol was carried out for a geometry-optimized MgCdHg2 structure.

Lattice parameters (Å, degrees): 3.4921 4.7956 10.3244 90.00 90.00 90.00
Space group Imm2 (No. 44)
Inequivalent atoms, fractional coordinates:
Mg 0.0000 0.0000 0.0000 x2
Cd 0.0000 0.5000 0.7488 x2
Hg 0.0000 0.0000 0.5089 x2
Hg 0.0000 0.5000 0.2665 x2

## Properties
**E_tot**: -1.12 eV per atom


[2]
A plane-wave DFT calculation with GGA-PBEsol was carried out for a geometry-optimized Co5NiS8 structure.

Lattice parameters (Å, degrees): 9.1660 9.1660 9.1660 90.00 90.00 90.00
Space group F-43m (No. 216)
Inequivalent atoms, fractional coordinates:
Co 0.0000 0.0000 0.0000 x4
Co 0.1259 0.1259 0.6259 x16
Ni 0.2500 0.2500 0.2500 x4
S 0.1158 0.1158 0.3842 x16
S 0.1316 0.1316 0.8684 x16

## Properties
**ΔE_f (raw)**: -0.567 eV/atom
**E_tot**: -6.28 eV per atom


[3]
A plane-wave DFT calculation with GGA-PBEsol was carried out for a geometry-optimized GaTePt2 structure.

Lattice parameters (Å, degrees): 6.5250 6.5250 6.5250 90.00 90.00 90.00
Space group Fm-3m (No. 225)
Inequivalent atoms, fractional coordinates:
Ga 0.0000 0.0000 0.0000 x4
Te 0.0000 0.0000 0.5000 x4
Pt 0.2500 0.2500 0.2500 x8

## Properties
**ΔE_f (raw)**: -0.042 eV/atom
**E_tot**: -5.24 eV per atom


[4]
A plane-wave DFT calculation with GGA-PBEsol was carried out for a geometry-optimized Li2V3O3F5 structure.

Lattice parameters (Å, degrees): 10.2042 5.7949 5.8543 90.00 124.70 90.00
Space group Cm (No. 8)
Inequivalent atoms, fractional coordinates:
Li 0.0000 0.0000 0.0000 x2
Li 0.2333 0.5000 0.2169 x2
V 0.1220 0.2304 0.6256 x4
V 0.3736 0.0000 0.5971 x2
O 0.1088 0.5000 0.8189 x2
O 0.1121 0.0000 0.8283 x2
O 0.1399 0.0000 0.3984 x2
F 0.1287 0.5000 0.3988 x2
F 0.3598 0.2430 0.8301 x4
F 0.3825 0.2509 0.3695 x4

## Properties
**ΔE_f (raw)**: -2.580 eV/atom
**E_tot**: -7.06 eV per atom